PmSc2N (GGA-PBE, optimized geometry); energy relative to the elements, uncorrected = -24.60 kJ/mol of atoms
1.0
2.995 0.000 0.000
0.000 2.995 0.000
0.000 0.000 8.488
Pm Sc N
1 2 1
Direct
0.000 0.000 0.000
0.500 0.500 0.350
0.500 0.500 0.650
0.000 0.000 0.500